Here is a relaxed Se3OF crystal from Alexandria. Energies are from GGA-PBEsol.

Summary:
The value obtained for the formation energy from raw total energies is 0.404 eV/atom.

abc: 4.357 4.357 4.357
angles: 90.00 90.00 90.00
Positions (direct):
Se1 0.000 0.000 0.500
Se2 0.000 0.500 0.000
Se3 0.500 0.000 0.000
O1 0.000 0.000 0.000
F1 0.500 0.500 0.500

=====

Here is a relaxed EuMg2Bi2 crystal from Alexandria. Energies are from GGA-PBEsol.

Summary:
Its formation energy is -13.4 kcal/mol of atoms.

abc: 4.780 4.780 7.681
angles: 90.00 90.00 120.00
Positions (direct):
Eu1 0.000 0.000 0.000
Mg1 0.333 0.667 0.370
Mg2 0.667 0.333 0.630
Bi1 0.333 0.667 0.758
Bi2 0.667 0.333 0.242

=====

Here is a relaxed Be3Ru2 crystal from Alexandria. Energies are from GGA-PBEsol.

Summary:
Its formation energy is 2.7 kcal/mol of atoms.

abc: 9.317 9.317 9.317
angles: 16.22 16.22 16.22
Positions (direct):
Be1 0.000 0.000 0.000
Be2 0.201 0.201 0.201
Be3 0.799 0.799 0.799
Ru1 0.400 0.400 0.400
Ru2 0.600 0.600 0.600

=====

Here is a relaxed KBa2V2ClO7 crystal from Alexandria. Energies are from GGA-PBEsol.

Summary:
The value obtained for the formation energy from raw total energies is -2.659 eV/atom.

abc: 5.740 5.740 15.049
angles: 90.00 90.00 120.00
Positions (direct):
K1 0.333 0.667 0.000
K2 0.667 0.333 0.500
Ba1 0.333 0.667 0.405
Ba2 0.333 0.667 0.697
Ba3 0.667 0.333 0.197
Ba4 0.667 0.333 0.905
V1 0.000 0.000 0.079
V2 0.000 0.000 0.316
V3 0.000 0.000 0.579
V4 0.000 0.000 0.816
Cl1 0.333 0.667 0.201
Cl2 0.667 0.333 0.701
O1 0.000 0.000 0.197
O2 0.000 0.000 0.697
O3 0.161 0.322 0.852
O4 0.161 0.839 0.852
O5 0.162 0.323 0.544
O6 0.162 0.838 0.544
O7 0.322 0.161 0.352
O8 0.323 0.162 0.044
O9 0.677 0.838 0.544
O10 0.678 0.839 0.852
O11 0.838 0.162 0.044
O12 0.838 0.677 0.044
O13 0.839 0.161 0.352
O14 0.839 0.678 0.352

=====

Here is a relaxed CaMg8Cu4 crystal from Alexandria. Energies are from GGA-PBEsol.

Summary:
Its formation energy is -1.5 kcal/mol of atoms.

abc: 7.190 7.190 7.190
angles: 97.99 97.99 136.21
Positions (direct):
Ca1 0.000 0.000 0.000
Mg1 0.000 0.340 0.340
Mg2 0.000 0.660 0.660
Mg3 0.282 0.500 0.782
Mg4 0.340 0.000 0.340
Mg5 0.500 0.282 0.782
Mg6 0.500 0.718 0.218
Mg7 0.660 0.000 0.660
Mg8 0.718 0.500 0.218
Cu1 0.000 0.000 0.500
Cu2 0.000 0.500 0.000
Cu3 0.500 0.000 0.000
Cu4 0.500 0.500 0.500

=====

Here is a relaxed CrBi3Os crystal from Alexandria. Energies are from GGA-PBEsol.

Summary:
Its formation energy is 34.4 kcal/mol of atoms.

abc: 4.995 4.995 4.995
angles: 90.00 90.00 90.00
Positions (direct):
Cr1 0.000 0.000 0.000
Bi1 0.000 0.000 0.500
Bi2 0.000 0.500 0.000
Bi3 0.500 0.000 0.000
Os1 0.500 0.500 0.500

=====

Here is a relaxed SbPbW2 crystal from Alexandria. Energies are from GGA-PBEsol.

Summary:
The value obtained for the formation energy from raw total energies is 1.152 eV/atom.

abc: 3.346 4.496 5.128
angles: 90.00 90.00 90.00
Positions (direct):
Sb1 0.000 0.000 0.000
Pb1 0.500 0.000 0.500
W1 0.000 0.500 0.500
W2 0.500 0.500 0.000

=====

Here is a relaxed CsBrF3 crystal from Alexandria. Energies are from GGA-PBEsol.

Summary:
The value obtained for the formation energy from raw total energies is -1.439 eV/atom.

abc: 4.572 4.572 4.572
angles: 90.00 90.00 90.00
Positions (direct):
Cs1 0.000 0.000 0.000
Br1 0.500 0.500 0.500
F1 0.000 0.500 0.500
F2 0.500 0.000 0.500
F3 0.500 0.500 0.000

=====

Here is a relaxed Cu2H2Se2O7 crystal from Alexandria. Energies are from GGA-PBEsol.

Summary:
Its total energy is -5.35 eV per atom.

abc: 8.387 7.396 10.446
angles: 90.00 111.08 90.00
Positions (direct):
Cu1 0.076 0.201 0.024
Cu2 0.076 0.299 0.524
Cu3 0.347 0.202 0.393
Cu4 0.347 0.298 0.893
Cu5 0.653 0.702 0.107
Cu6 0.653 0.798 0.607
Cu7 0.924 0.701 0.476
Cu8 0.924 0.799 0.976
H1 0.162 0.575 0.104
H2 0.162 0.925 0.604
H3 0.272 0.746 0.574
H4 0.272 0.754 0.074
H5 0.728 0.246 0.926
H6 0.728 0.254 0.426
H7 0.838 0.075 0.396
H8 0.838 0.425 0.896
Se1 0.056 0.598 0.785
Se2 0.056 0.902 0.285
Se3 0.487 0.057 0.169
Se4 0.487 0.443 0.669
Se5 0.513 0.557 0.331
Se6 0.513 0.943 0.831
Se7 0.944 0.098 0.715
Se8 0.944 0.402 0.215
O1 0.031 0.016 0.882
O2 0.031 0.484 0.382
O3 0.125 0.109 0.366
O4 0.125 0.391 0.866
O5 0.129 0.116 0.673
O6 0.129 0.384 0.173
O7 0.159 0.691 0.052
O8 0.159 0.809 0.552
O9 0.323 0.184 0.053
O10 0.323 0.316 0.553
O11 0.394 0.011 0.287
O12 0.394 0.489 0.787
O13 0.452 0.655 0.590
O14 0.452 0.845 0.090
O15 0.548 0.155 0.910
O16 0.548 0.345 0.410
O17 0.606 0.511 0.213
O18 0.606 0.989 0.713
O19 0.677 0.684 0.447
O20 0.677 0.816 0.947
O21 0.841 0.191 0.448
O22 0.841 0.309 0.948
O23 0.871 0.616 0.827
O24 0.871 0.884 0.327
O25 0.875 0.609 0.134
O26 0.875 0.891 0.634
O27 0.969 0.516 0.618
O28 0.969 0.984 0.118

=====

Here is a relaxed TlCl crystal from Alexandria. Energies are from GGA-PBEsol.

Summary:
The value obtained for the formation energy from raw total energies is -0.916 eV/atom.

abc: 4.455 4.455 4.455
angles: 60.00 60.00 60.00
Positions (direct):
Tl1 0.000 0.000 0.000
Cl1 0.500 0.500 0.500

=====

Here is a relaxed LaZrSe2 crystal from Alexandria. Energies are from GGA-PBEsol.

Summary:
The value obtained for the formation energy from raw total energies is -1.580 eV/atom.

abc: 6.896 6.896 6.896
angles: 34.17 34.17 34.17
Positions (direct):
La1 0.000 0.000 0.000
Zr1 0.500 0.500 0.500
Se1 0.240 0.240 0.240
Se2 0.760 0.760 0.760

=====

Here is a relaxed CrPIr3 crystal from Alexandria. Energies are from GGA-PBEsol.

Summary:
Its formation energy is 38.3 kcal/mol of atoms.

abc: 4.418 4.418 4.418
angles: 90.00 90.00 90.00
Positions (direct):
Cr1 0.000 0.000 0.000
P1 0.500 0.500 0.500
Ir1 0.000 0.000 0.500
Ir2 0.000 0.500 0.000
Ir3 0.500 0.000 0.000

=====

Here is a relaxed NbCuHgOs2 crystal from Alexandria. Energies are from GGA-PBEsol.

Summary:
Its formation energy is 46.1 kcal/mol of atoms.

abc: 4.700 4.700 4.683
angles: 90.00 90.00 90.00
Positions (direct):
Nb1 0.000 0.000 0.000
Cu1 0.000 0.000 0.500
Hg1 0.500 0.500 0.500
Os1 0.000 0.500 0.000
Os2 0.500 0.000 0.000

=====

Here is a relaxed TaMn2Os crystal from Alexandria. Energies are from GGA-PBEsol.

Summary:
Its formation energy is 2.6 kcal/mol of atoms.

abc: 4.818 4.818 2.670
angles: 98.96 98.96 114.26
Positions (direct):
Ta1 0.000 0.000 0.000
Mn1 0.000 0.500 0.500
Mn2 0.500 0.000 0.500
Os1 0.500 0.500 0.000

=====

Here is a relaxed BePbAu2 crystal from Alexandria. Energies are from GGA-PBEsol.

Summary:
Its formation energy is -0.3 kcal/mol of atoms.

abc: 6.369 6.369 6.369
angles: 35.09 35.09 35.09
Positions (direct):
Be1 0.000 0.000 0.000
Pb1 0.500 0.500 0.500
Au1 0.283 0.283 0.283
Au2 0.717 0.717 0.717

=====

Here is a relaxed KZn2AsW crystal from Alexandria. Energies are from GGA-PBEsol.

Summary:
Its formation energy is 24.0 kcal/mol of atoms.

abc: 5.013 5.013 4.767
angles: 90.00 90.00 90.00
Positions (direct):
K1 0.000 0.000 0.000
Zn1 0.000 0.500 0.500
Zn2 0.500 0.000 0.500
As1 0.500 0.500 0.500
W1 0.500 0.500 0.000

=====

Here is a relaxed MnIrBr2 crystal from Alexandria. Energies are from GGA-PBEsol.

Summary:
The value obtained for the formation energy from raw total energies is 0.831 eV/atom.

abc: 4.612 4.612 4.612
angles: 60.00 60.00 60.00
Positions (direct):
Mn1 0.000 0.000 0.000
Ir1 0.500 0.500 0.500
Br1 0.250 0.250 0.250
Br2 0.750 0.750 0.750

=====

Here is a relaxed OsPt2Br crystal from Alexandria. Energies are from GGA-PBEsol.

Summary:
The value obtained for the formation energy from raw total energies is 0.586 eV/atom.

abc: 9.083 9.083 9.083
angles: 18.21 18.21 18.21
Positions (direct):
Os1 0.000 0.000 0.000
Pt1 0.257 0.257 0.257
Pt2 0.507 0.507 0.507
Br1 0.743 0.743 0.743

=====

Here is a relaxed Cr2TeRh crystal from Alexandria. Energies are from GGA-PBEsol.

Summary:
The value obtained for the formation energy from raw total energies is 0.238 eV/atom.

abc: 3.865 3.865 3.888
angles: 90.00 90.00 90.00
Positions (direct):
Cr1 0.000 0.500 0.000
Cr2 0.500 0.000 0.000
Te1 0.000 0.000 0.500
Rh1 0.500 0.500 0.500

=====

Here is a relaxed Cs2ZnAsPt crystal from Alexandria. Energies are from GGA-PBEsol.

Summary:
Its formation energy is 7.3 kcal/mol of atoms.

abc: 6.419 6.419 4.754
angles: 90.00 90.00 90.00
Positions (direct):
Cs1 0.000 0.500 0.000
Cs2 0.500 0.000 0.000
Zn1 0.000 0.000 0.500
As1 0.500 0.500 0.500
Pt1 0.000 0.000 0.000

=====

Here is a relaxed ScBiPO2 crystal from Alexandria. Energies are from GGA-PBEsol.

Summary:
The value obtained for the formation energy from raw total energies is -1.178 eV/atom.

abc: 4.022 4.022 5.193
angles: 90.00 90.00 90.00
Positions (direct):
Sc1 0.000 0.000 0.000
Bi1 0.500 0.500 0.500
P1 0.000 0.000 0.500
O1 0.000 0.500 0.000
O2 0.500 0.000 0.000

=====

Here is a relaxed In2Au2Br crystal from Alexandria. Energies are from GGA-PBEsol.

Summary:
The value obtained for the formation energy from raw total energies is -0.168 eV/atom.

abc: 8.265 8.265 8.265
angles: 152.86 152.86 38.77
Positions (direct):
In1 0.106 0.106 0.000
In2 0.894 0.894 0.000
Au1 0.250 0.750 0.500
Au2 0.750 0.250 0.500
Br1 0.500 0.500 0.000

=====

Here is a relaxed TbMg2Cu crystal from Alexandria. Energies are from GGA-PBEsol.

Summary:
Its formation energy is 1.6 kcal/mol of atoms.

abc: 4.816 4.816 4.816
angles: 60.00 60.00 60.00
Positions (direct):
Tb1 0.000 0.000 0.000
Mg1 0.250 0.250 0.250
Mg2 0.750 0.750 0.750
Cu1 0.500 0.500 0.500

=====

Here is a relaxed CaNiAu3 crystal from Alexandria. Energies are from GGA-PBEsol.

Summary:
Its formation energy is -1.2 kcal/mol of atoms.

abc: 4.743 4.743 4.743
angles: 90.00 90.00 90.00
Positions (direct):
Ca1 0.000 0.000 0.000
Ni1 0.500 0.500 0.500
Au1 0.000 0.500 0.500
Au2 0.500 0.000 0.500
Au3 0.500 0.500 0.000

=====

Here is a relaxed NbBiC3 crystal from Alexandria. Energies are from GGA-PBEsol.

Summary:
Its formation energy is 41.6 kcal/mol of atoms.

abc: 4.213 4.213 4.213
angles: 90.00 90.00 90.00
Positions (direct):
Nb1 0.000 0.000 0.000
Bi1 0.500 0.500 0.500
C1 0.000 0.000 0.500
C2 0.000 0.500 0.000
C3 0.500 0.000 0.000